Ba4LaIr: optimized geometry, PBE.

The structure belongs to space group F-43m (No. 216); the cell edges are 9.948, 9.948 and 9.948 Å and the angles 90.00°, 90.00° and 90.00°. The inequivalent atoms are Ba at (0.123, 0.123, 0.123), La at (0.000, 0.000, 0.500) and Ir at (0.250, 0.250, 0.750).

The value obtained for the total DFT energy (no corrections) is -2.6439 eV per atom. As for the energy of formation from the pure elements: 0.9360 eV/atom. As for the total magnetization: 9.0 μB/cell.